# 1
# ZrAlZn, optimized geometry, DFT PBE
# Fermi-level density of states	0.5594	states/eV per atom
# volume	55.78	Å³/cell
# energy relative to the elements	-66	meV/atom
data_ZrAlZn
_chemical_formula_sum 'Zr1 Al1 Zn1'
_cell_length_a 3.0006
_cell_length_b 3.0006
_cell_length_c 7.1540
_cell_angle_alpha 90.00
_cell_angle_beta 90.00
_cell_angle_gamma 120.00
_space_group_name_H-M_alt 'P 3 m 1'
_space_group_IT_number 156
loop_
_space_group_symop_operation_xyz
'x,y,z'
'-y,x-y,z'
'-x+y,-x,z'
'-y,-x,z'
'-x+y,y,z'
'x,x-y,z'
loop_
_atom_site_label
_atom_site_type_symbol
_atom_site_fract_x
_atom_site_fract_y
_atom_site_fract_z
Zr1 Zr 0.0000 0.0000 0.0000
Al1 Al 0.6667 0.3333 0.3474
Zn1 Zn 0.3333 0.6667 0.6562

# 2
# NbGaSb2Te, optimized geometry, DFT PBE
# Fermi-level density of states	0.6018	states/eV per atom
# E above lowest polymorph	0	meV/atom
# volume	159.22	Å³/cell
# formation energy (no corrections)	6.62	kcal/mol of atoms
data_NbGaSb2Te
_chemical_formula_sum 'Nb1 Ga1 Sb2 Te1'
_cell_length_a 5.4239
_cell_length_b 5.4239
_cell_length_c 5.4121
_cell_angle_alpha 90.00
_cell_angle_beta 90.00
_cell_angle_gamma 90.00
_space_group_name_H-M_alt 'P 4/m m m'
_space_group_IT_number 123
_space_group_name_Hall '-P 4 2'
loop_
_atom_site_label
_atom_site_type_symbol
_atom_site_fract_x
_atom_site_fract_y
_atom_site_fract_z
Nb1 Nb 0.0000 0.0000 0.0000
Ga1 Ga 0.5000 0.5000 0.5000
Sb1 Sb 0.0000 0.5000 0.0000
Te1 Te 0.0000 0.0000 0.5000